Density functional theory data (PBE) for a geometry-optimized Cd8RhAu5 structure.

abc: 8.361 8.361 8.292
angles: 90.00 90.00 90.00
Space group I-4 (No. 82)
Symmetry-distinct sites (fractional):
Cd: 0.077 0.334 0.034 x8
Cd: 0.080 0.178 0.702 x8
Rh: 0.000 0.500 0.750 x2
Au: 0.000 0.000 0.000 x2
Au: 0.120 0.250 0.366 x8

Formation energy = -103 meV per atom
M_tot = 0.000 μB per atom
DOS(E_F) = 10.893 states/eV/cell